Entry 1:
## SiSeS2 (GGA-PBEsol)

Data for a geometry-optimized SiSeS2 structure.

Calculated values
- Space group: No. 225
- E_form (uncorrected): 0.4935 eV per atom

Unit cell a=4.493 b=4.493 c=4.493 alpha=60.00 beta=60.00 gamma=60.00
Positions (direct):
Si1 0.000 0.000 0.000
Se1 0.500 0.500 0.500
S1 0.250 0.250 0.250
S2 0.750 0.750 0.750



Entry 2:
## SiSe2S (GGA-PBEsol)

Data for a geometry-optimized SiSe2S structure.

Calculated values
- Space group: No. 166
- E_form (uncorrected): 0.5648 eV per atom

Unit cell a=8.566 b=8.566 c=8.566 alpha=22.63 beta=22.63 gamma=22.63
Positions (direct):
Si1 0.000 0.000 0.000
Se1 0.098 0.098 0.098
Se2 0.902 0.902 0.902
S1 0.500 0.500 0.500



Entry 3:
## SnSeS2 (GGA-PBEsol)

Data for a geometry-optimized SnSeS2 structure.

Calculated values
- Space group: No. 166
- E_form (uncorrected): -0.0332 eV per atom

Unit cell a=8.105 b=8.105 c=8.105 alpha=27.10 beta=27.10 gamma=27.10
Positions (direct):
Sn1 0.000 0.000 0.000
Se1 0.500 0.500 0.500
S1 0.399 0.399 0.399
S2 0.601 0.601 0.601